# ZnTcPO | Alexandria via LeMat-Bulk | GGA-PBE | optimized geometry
data_ZnTcPO
_chemical_formula_sum 'Zn1 Tc1 P1 O1'
_cell_length_a 4.460
_cell_length_b 4.460
_cell_length_c 5.218
_cell_angle_alpha 123.45
_cell_angle_beta 123.45
_cell_angle_gamma 38.37
_space_group_name_H-M_alt 'P 1'
_space_group_IT_number 1
loop_
_space_group_symop_operation_xyz
'x,y,z'
loop_
_atom_site_label
_atom_site_type_symbol
_atom_site_fract_x
_atom_site_fract_y
_atom_site_fract_z
_atom_site_occupancy
Zn1 Zn 0.000 0.000 0.000 1
Tc1 Tc 0.634 0.634 0.529 1
P1 P 0.873 0.873 0.388 1
O1 O 0.685 0.685 0.992 1
# Total magnetic moment (μB/f.u.): 0.00
# Energy (eV per atom): -5.92
# Formation energy from raw total energies (meV/atom): -416
# Volume (Å³ per atom): 13.08

# ZnTcPO | Alexandria via LeMat-Bulk | GGA-PBE | optimized geometry
data_ZnTcPO
_chemical_formula_sum 'Zn1 Tc1 P1 O1'
_cell_length_a 4.726
_cell_length_b 4.726
_cell_length_c 3.880
_cell_angle_alpha 96.33
_cell_angle_beta 96.33
_cell_angle_gamma 38.87
_space_group_name_H-M_alt 'P 1'
_space_group_IT_number 1
loop_
_space_group_symop_operation_xyz
'x,y,z'
loop_
_atom_site_label
_atom_site_type_symbol
_atom_site_fract_x
_atom_site_fract_y
_atom_site_fract_z
_atom_site_occupancy
Zn1 Zn 0.000 0.000 0.000 1
Tc1 Tc 0.279 0.279 0.607 1
P1 P 0.564 0.564 0.513 1
O1 O 0.275 0.275 0.106 1
# Total magnetic moment (μB/f.u.): 0.00
# Energy (eV per atom): -5.88
# Formation energy from raw total energies (meV/atom): -377
# Volume (Å³ per atom): 13.50

# ZnTcP2O | Alexandria via LeMat-Bulk | GGA-PBE | optimized geometry
data_ZnTcP2O
_chemical_formula_sum 'Zn1 Tc1 P2 O1'
_cell_length_a 4.727
_cell_length_b 4.727
_cell_length_c 3.574
_cell_angle_alpha 90.00
_cell_angle_beta 90.00
_cell_angle_gamma 90.00
_space_group_name_H-M_alt 'P 1'
_space_group_IT_number 1
loop_
_space_group_symop_operation_xyz
'x,y,z'
loop_
_atom_site_label
_atom_site_type_symbol
_atom_site_fract_x
_atom_site_fract_y
_atom_site_fract_z
_atom_site_occupancy
Zn1 Zn 0.000 0.000 0.000 1
Tc1 Tc 0.500 0.500 0.500 1
P1 P 0.000 0.500 0.000 1
P2 P 0.500 0.000 0.000 1
O1 O 0.000 0.000 0.500 1
# Total magnetic moment (μB/f.u.): 2.47
# Energy (eV per atom): -4.67
# Formation energy from raw total energies (meV/atom): 811
# Volume (Å³ per atom): 15.97

# ZnTcPO | Alexandria via LeMat-Bulk | GGA-PBE | optimized geometry
data_ZnTcPO
_chemical_formula_sum 'Zn1 Tc1 P1 O1'
_cell_length_a 3.175
_cell_length_b 2.934
_cell_length_c 6.077
_cell_angle_alpha 90.00
_cell_angle_beta 90.28
_cell_angle_gamma 90.00
_space_group_name_H-M_alt 'P 1'
_space_group_IT_number 1
loop_
_space_group_symop_operation_xyz
'x,y,z'
loop_
_atom_site_label
_atom_site_type_symbol
_atom_site_fract_x
_atom_site_fract_y
_atom_site_fract_z
_atom_site_occupancy
Zn1 Zn 0.000 0.000 0.000 1
Tc1 Tc 0.008 0.500 0.642 1
P1 P 0.508 0.000 0.480 1
O1 O 0.504 0.000 0.215 1
# Total magnetic moment (μB/f.u.): 0.00
# Energy (eV per atom): -6.27
# Formation energy from raw total energies (meV/atom): -769
# Volume (Å³ per atom): 14.15